# 1
An optimized crystal structure of CaOs2Rh, computed with PBE.

The structure in CIF format:
```
data_CaOs2Rh
_chemical_formula_sum 'Ca1 Os2 Rh1'
_cell_length_a 2.7496
_cell_length_b 2.7496
_cell_length_c 8.6719
_cell_angle_alpha 90.00
_cell_angle_beta 90.00
_cell_angle_gamma 90.00
_space_group_name_H-M_alt 'P 1'
_space_group_IT_number 1
loop_
_space_group_symop_operation_xyz
'x,y,z'
loop_
_atom_site_label
_atom_site_type_symbol
_atom_site_fract_x
_atom_site_fract_y
_atom_site_fract_z
Rh1 Rh 0.5000 0.5000 0.2500
Ca1 Ca 0.5000 0.5000 0.7500
Os1 Os 0.0000 0.0000 0.0312
Os2 Os 0.0000 0.0000 0.4688
```

## Properties
The value obtained for the energy is -7.525 eV/atom. Its crystal system is tetragonal. Its space group is P4/mmm, No. 123.

=====

# 2
An optimized crystal structure of MgCr2In, computed with PBE.

The structure in CIF format:
```
data_MgCr2In
_chemical_formula_sum 'Mg1 Cr2 In1'
_cell_length_a 3.0170
_cell_length_b 4.2084
_cell_length_c 5.8327
_cell_angle_alpha 90.00
_cell_angle_beta 90.00
_cell_angle_gamma 90.00
_space_group_name_H-M_alt 'P 1'
_space_group_IT_number 1
loop_
_space_group_symop_operation_xyz
'x,y,z'
loop_
_atom_site_label
_atom_site_type_symbol
_atom_site_fract_x
_atom_site_fract_y
_atom_site_fract_z
Cr1 Cr 0.0000 0.0000 0.9972
Cr2 Cr 0.5000 0.5000 0.2537
In1 In 0.0000 0.0000 0.4819
Mg1 Mg 0.5000 0.5000 0.7672
```

## Properties
The value obtained for the energy is -5.346 eV/atom. Its crystal system is orthorhombic. Its space group is Pmm2, No. 25.

=====

# 3
An optimized crystal structure of InGeBiO5, computed with PBE.

The structure in CIF format:
```
data_InGeBiO5
_chemical_formula_sum 'In2 Ge2 Bi2 O10'
_cell_length_a 5.9208
_cell_length_b 5.9208
_cell_length_c 7.3203
_cell_angle_alpha 103.19
_cell_angle_beta 103.19
_cell_angle_gamma 108.43
_space_group_name_H-M_alt 'P 1'
_space_group_IT_number 1
loop_
_space_group_symop_operation_xyz
'x,y,z'
loop_
_atom_site_label
_atom_site_type_symbol
_atom_site_fract_x
_atom_site_fract_y
_atom_site_fract_z
In1 In 0.0000 0.0000 0.5000
In2 In 0.0000 0.0000 0.0000
Ge1 Ge 0.6725 0.3275 0.2500
Ge2 Ge 0.3275 0.6725 0.7500
Bi1 Bi 0.3197 0.6803 0.2500
Bi2 Bi 0.6803 0.3197 0.7500
O1 O 0.0957 0.9043 0.2500
O2 O 0.9043 0.0957 0.7500
O3 O 0.8978 0.3370 0.1183
O4 O 0.1022 0.6630 0.8817
O5 O 0.6630 0.1022 0.3817
O6 O 0.3370 0.8978 0.6183
O7 O 0.7383 0.6109 0.4363
O8 O 0.2617 0.3891 0.5637
O9 O 0.3891 0.2617 0.0637
O10 O 0.6109 0.7383 0.9363
```

## Properties
Its crystal system is monoclinic. Its uncorrected formation energy is -1145 kJ/mol of formula units. Its space group is C2/c, No. 15.

=====

# 4
An optimized crystal structure of TmAl3Ni2, computed with PBE.

The structure in CIF format:
```
data_TmAl3Ni2
_chemical_formula_sum 'Tm2 Al6 Ni4'
_cell_length_a 5.1438
_cell_length_b 6.1326
_cell_length_c 6.1326
_cell_angle_alpha 99.54
_cell_angle_beta 90.00
_cell_angle_gamma 90.00
_space_group_name_H-M_alt 'P 1'
_space_group_IT_number 1
loop_
_space_group_symop_operation_xyz
'x,y,z'
loop_
_atom_site_label
_atom_site_type_symbol
_atom_site_fract_x
_atom_site_fract_y
_atom_site_fract_z
Tm1 Tm 0.2500 0.3534 0.3534
Tm2 Tm 0.7500 0.6466 0.6466
Al1 Al 0.7500 0.4585 0.0940
Al2 Al 0.7500 0.0940 0.4585
Al3 Al 0.2500 0.5415 0.9060
Al4 Al 0.7500 0.0323 0.0323
Al5 Al 0.2500 0.9677 0.9677
Al6 Al 0.2500 0.9060 0.5415
Ni1 Ni 0.5000 0.7812 0.2188
Ni2 Ni 0.0000 0.7812 0.2188
Ni3 Ni 0.0000 0.2188 0.7812
Ni4 Ni 0.5000 0.2188 0.7812
```

## Properties
The value obtained for the energy is -5.138 eV/atom. Its crystal system is orthorhombic. Its space group is Cmcm, No. 63.

=====

# 5
An optimized crystal structure of KIrOs, computed with PBE.

The structure in CIF format:
```
data_KIrOs
_chemical_formula_sum 'K2 Ir2 Os2'
_cell_length_a 4.8812
_cell_length_b 4.8853
_cell_length_c 6.6402
_cell_angle_alpha 93.26
_cell_angle_beta 73.10
_cell_angle_gamma 113.69
_space_group_name_H-M_alt 'P 1'
_space_group_IT_number 1
loop_
_space_group_symop_operation_xyz
'x,y,z'
loop_
_atom_site_label
_atom_site_type_symbol
_atom_site_fract_x
_atom_site_fract_y
_atom_site_fract_z
K1 K 0.2936 0.3592 0.8638
K2 K 0.9425 0.7593 0.7723
Ir1 Ir 0.5907 0.8019 0.3808
Ir2 Ir 0.0873 0.3014 0.3840
Os1 Os 0.6393 0.3132 0.2629
Os2 Os 0.1430 0.8138 0.2590
```

## Properties
The value obtained for the energy is -6.527 eV/atom. Its crystal system is triclinic. Its space group is P1, No. 1.

=====

# 6
An optimized crystal structure of ReNiPt, computed with PBE.

The structure in CIF format:
```
data_ReNiPt
_chemical_formula_sum 'Re1 Ni1 Pt1'
_cell_length_a 4.2633
_cell_length_b 4.2633
_cell_length_c 2.6313
_cell_angle_alpha 90.00
_cell_angle_beta 90.00
_cell_angle_gamma 120.00
_space_group_name_H-M_alt 'P 1'
_space_group_IT_number 1
loop_
_space_group_symop_operation_xyz
'x,y,z'
loop_
_atom_site_label
_atom_site_type_symbol
_atom_site_fract_x
_atom_site_fract_y
_atom_site_fract_z
Ni1 Ni 0.0000 0.0000 0.1664
Pt1 Pt 0.6667 0.3333 0.1670
Re1 Re 0.3333 0.6667 0.6666
```

## Properties
The value obtained for the energy is -8.120 eV/atom. Its crystal system is hexagonal. Its space group is P-6m2, No. 187.

=====

# 7
An optimized crystal structure of FeBSbCl2, computed with PBE.

The structure in CIF format:
```
data_FeBSbCl2
_chemical_formula_sum 'Fe1 B1 Sb1 Cl2'
_cell_length_a 4.3491
_cell_length_b 4.6691
_cell_length_c 4.3491
_cell_angle_alpha 90.00
_cell_angle_beta 90.00
_cell_angle_gamma 90.00
_space_group_name_H-M_alt 'P 1'
_space_group_IT_number 1
loop_
_space_group_symop_operation_xyz
'x,y,z'
loop_
_atom_site_label
_atom_site_type_symbol
_atom_site_fract_x
_atom_site_fract_y
_atom_site_fract_z
Sb1 Sb 0.5000 0.5000 0.5000
B1 B 0.0000 0.0000 0.0000
Fe1 Fe 0.0000 0.5000 0.0000
Cl1 Cl 0.0000 0.0000 0.5000
Cl2 Cl 0.5000 0.0000 0.0000
```

## Properties
Its crystal system is tetragonal. Its uncorrected formation energy is 406 kJ/mol of formula units. Its space group is P4/mmm, No. 123.

=====

# 8
An optimized crystal structure of Sc12Ga5Ir3, computed with PBE.

The structure in CIF format:
```
data_Sc12Ga5Ir3
_chemical_formula_sum 'Sc48 Ga20 Ir12'
_cell_length_a 13.6164
_cell_length_b 13.6164
_cell_length_c 13.6164
_cell_angle_alpha 109.47
_cell_angle_beta 109.47
_cell_angle_gamma 109.47
_space_group_name_H-M_alt 'P 1'
_space_group_IT_number 1
loop_
_space_group_symop_operation_xyz
'x,y,z'
loop_
_atom_site_label
_atom_site_type_symbol
_atom_site_fract_x
_atom_site_fract_y
_atom_site_fract_z
Ir1 Ir 0.7500 0.3750 0.1250
Ir2 Ir 0.8750 0.7500 0.1250
Ir3 Ir 0.3750 0.7500 0.6250
Ir4 Ir 0.2500 0.1250 0.3750
Ir5 Ir 0.8750 0.1250 0.2500
Ir6 Ir 0.3750 0.6250 0.2500
Ir7 Ir 0.6250 0.3750 0.7500
Ir8 Ir 0.1250 0.8750 0.7500
Ir9 Ir 0.7500 0.8750 0.6250
Ir10 Ir 0.6250 0.2500 0.3750
Ir11 Ir 0.1250 0.2500 0.8750
Ir12 Ir 0.2500 0.6250 0.8750
Ga1 Ga 0.1250 0.3750 0.2500
Ga2 Ga 0.0000 0.5000 0.0000
Ga3 Ga 0.0000 0.0000 0.0000
Ga4 Ga 0.3750 0.2500 0.1250
Ga5 Ga 0.5000 0.0000 0.5000
Ga6 Ga 0.5000 0.5000 0.0000
Ga7 Ga 0.1250 0.7500 0.3750
Ga8 Ga 0.7500 0.1250 0.8750
Ga9 Ga 0.7500 0.6250 0.3750
Ga10 Ga 0.3750 0.1250 0.7500
Ga11 Ga 0.6250 0.8750 0.2500
Ga12 Ga 0.5000 0.5000 0.5000
Ga13 Ga 0.5000 0.0000 0.0000
Ga14 Ga 0.0000 0.0000 0.5000
Ga15 Ga 0.2500 0.3750 0.6250
Ga16 Ga 0.2500 0.8750 0.1250
Ga17 Ga 0.0000 0.5000 0.5000
Ga18 Ga 0.8750 0.2500 0.6250
Ga19 Ga 0.6250 0.7500 0.8750
Ga20 Ga 0.8750 0.6250 0.7500
Sc1 Sc 0.7306 0.1332 0.0639
Sc2 Sc 0.3333 0.5639 0.4306
Sc3 Sc 0.9361 0.3668 0.2694
Sc4 Sc 0.5639 0.2306 0.1332
Sc5 Sc 0.5973 0.7306 0.6667
Sc6 Sc 0.9361 0.5694 0.1667
Sc7 Sc 0.3333 0.7694 0.4027
Sc8 Sc 0.0694 0.9027 0.1332
Sc9 Sc 0.5694 0.9361 0.6667
Sc10 Sc 0.7306 0.5973 0.1667
Sc11 Sc 0.7694 0.4361 0.3668
Sc12 Sc 0.8333 0.9306 0.0639
Sc13 Sc 0.1332 0.7306 0.5639
Sc14 Sc 0.3668 0.4306 0.0973
Sc15 Sc 0.0973 0.9306 0.3668
Sc16 Sc 0.4027 0.1332 0.5694
Sc17 Sc 0.0973 0.1667 0.2306
Sc18 Sc 0.4361 0.6667 0.0694
Sc19 Sc 0.8333 0.9027 0.2694
Sc20 Sc 0.1332 0.4027 0.0694
Sc21 Sc 0.3668 0.9361 0.7694
Sc22 Sc 0.5694 0.6332 0.4027
Sc23 Sc 0.9306 0.8333 0.5639
Sc24 Sc 0.7694 0.3333 0.9027
Sc25 Sc 0.4306 0.3668 0.5973
Sc26 Sc 0.0694 0.1667 0.4361
Sc27 Sc 0.2306 0.6667 0.0973
Sc28 Sc 0.1667 0.0973 0.7306
Sc29 Sc 0.6332 0.0639 0.2306
Sc30 Sc 0.8668 0.5973 0.9306
Sc31 Sc 0.5639 0.3333 0.9306
Sc32 Sc 0.5973 0.8668 0.4306
Sc33 Sc 0.9027 0.8333 0.7694
Sc34 Sc 0.9027 0.0694 0.6332
Sc35 Sc 0.8668 0.2694 0.4361
Sc36 Sc 0.1667 0.0694 0.9361
Sc37 Sc 0.6332 0.5694 0.9027
Sc38 Sc 0.4306 0.0639 0.3333
Sc39 Sc 0.2694 0.4027 0.8333
Sc40 Sc 0.2306 0.5639 0.6332
Sc41 Sc 0.9306 0.0973 0.8668
Sc42 Sc 0.6667 0.2306 0.5973
Sc43 Sc 0.4361 0.7694 0.8668
Sc44 Sc 0.0639 0.4306 0.8333
Sc45 Sc 0.4027 0.2694 0.3333
Sc46 Sc 0.0639 0.6332 0.7306
Sc47 Sc 0.6667 0.4361 0.5694
Sc48 Sc 0.2694 0.8668 0.9361
```

## Properties
The value obtained for the energy is -5.937 eV/atom. Its crystal system is cubic. Its space group is Ia-3d, No. 230.

=====

# 9
An optimized crystal structure of AlZn4Cu5, computed with PBE.

The structure in CIF format:
```
data_AlZn4Cu5
_chemical_formula_sum 'Al1 Zn4 Cu5'
_cell_length_a 2.9468
_cell_length_b 2.9468
_cell_length_c 15.0609
_cell_angle_alpha 90.00
_cell_angle_beta 90.00
_cell_angle_gamma 90.00
_space_group_name_H-M_alt 'P 1'
_space_group_IT_number 1
loop_
_space_group_symop_operation_xyz
'x,y,z'
loop_
_atom_site_label
_atom_site_type_symbol
_atom_site_fract_x
_atom_site_fract_y
_atom_site_fract_z
Al1 Al 0.0000 0.0000 0.0000
Zn1 Zn 0.0000 0.0000 0.2036
Zn2 Zn 0.0000 0.0000 0.4012
Zn3 Zn 0.0000 0.0000 0.5988
Zn4 Zn 0.0000 0.0000 0.7964
Cu1 Cu 0.5000 0.5000 0.1007
Cu2 Cu 0.5000 0.5000 0.3021
Cu3 Cu 0.5000 0.5000 0.5000
Cu4 Cu 0.5000 0.5000 0.6979
Cu5 Cu 0.5000 0.5000 0.8993
```

## Properties
The value obtained for the energy is -3.049 eV/atom. Its crystal system is tetragonal. Its space group is P4/mmm, No. 123.

=====

# 10
An optimized crystal structure of DyMg2SbO6, computed with PBE.

The structure in CIF format:
```
data_DyMg2SbO6
_chemical_formula_sum 'Dy1 Mg2 Sb1 O6'
_cell_length_a 5.3695
_cell_length_b 5.3695
_cell_length_c 5.7403
_cell_angle_alpha 62.11
_cell_angle_beta 62.11
_cell_angle_gamma 60.00
_space_group_name_H-M_alt 'P 1'
_space_group_IT_number 1
loop_
_space_group_symop_operation_xyz
'x,y,z'
loop_
_atom_site_label
_atom_site_type_symbol
_atom_site_fract_x
_atom_site_fract_y
_atom_site_fract_z
Dy1 Dy 0.8053 0.8053 0.5840
Mg1 Mg 0.5256 0.5256 0.4233
Mg2 Mg 0.0180 0.0180 0.9459
Sb1 Sb 0.3190 0.3190 0.0430
O1 O 0.5937 0.2289 0.2417
O2 O 0.2289 0.9357 0.2417
O3 O 0.9357 0.5937 0.2417
O4 O 0.3888 0.7089 0.7646
O5 O 0.7089 0.1376 0.7646
O6 O 0.1377 0.3888 0.7647
```

## Properties
Its crystal system is trigonal. Its uncorrected formation energy is -2424 kJ/mol of formula units. Its space group is R3, No. 146.

=====

# 11
An optimized crystal structure of Pr2AlZn4Pd3, computed with PBE.

The structure in CIF format:
```
data_Pr2AlZn4Pd3
_chemical_formula_sum 'Pr2 Al1 Zn4 Pd3'
_cell_length_a 4.0258
_cell_length_b 4.0258
_cell_length_c 11.9659
_cell_angle_alpha 90.00
_cell_angle_beta 90.00
_cell_angle_gamma 90.00
_space_group_name_H-M_alt 'P 1'
_space_group_IT_number 1
loop_
_space_group_symop_operation_xyz
'x,y,z'
loop_
_atom_site_label
_atom_site_type_symbol
_atom_site_fract_x
_atom_site_fract_y
_atom_site_fract_z
Pr1 Pr 0.5000 0.0000 0.2469
Pr2 Pr 0.0000 0.5000 0.7531
Al1 Al 0.5000 0.5000 0.5000
Zn1 Zn 0.5000 0.5000 0.0000
Zn2 Zn 0.0000 0.0000 0.0000
Zn3 Zn 0.5000 0.0000 0.6393
Zn4 Zn 0.0000 0.5000 0.3607
Pd1 Pd 0.0000 0.0000 0.5000
Pd2 Pd 0.5000 0.0000 0.8573
Pd3 Pd 0.0000 0.5000 0.1427
```

## Properties
The value obtained for the energy is -3.970 eV/atom. Its crystal system is tetragonal. Its space group is P-4m2, No. 115.

=====

# 12
An optimized crystal structure of KPt3Cl, computed with PBE.

The structure in CIF format:
```
data_KPt3Cl
_chemical_formula_sum 'K1 Pt3 Cl1'
_cell_length_a 5.1563
_cell_length_b 5.1563
_cell_length_c 5.1563
_cell_angle_alpha 90.00
_cell_angle_beta 90.00
_cell_angle_gamma 90.00
_space_group_name_H-M_alt 'P 1'
_space_group_IT_number 1
loop_
_space_group_symop_operation_xyz
'x,y,z'
loop_
_atom_site_label
_atom_site_type_symbol
_atom_site_fract_x
_atom_site_fract_y
_atom_site_fract_z
K1 K 0.0000 0.0000 0.0000
Pt1 Pt 0.0000 0.5000 0.0000
Pt2 Pt 0.0000 0.0000 0.5000
Pt3 Pt 0.5000 0.0000 0.0000
Cl1 Cl 0.5000 0.5000 0.5000
```

## Properties
Its crystal system is cubic. Its uncorrected formation energy is 1057 kJ/mol of formula units. Its space group is Pm-3m, No. 221.